LaAgSn2: optimized geometry, PBE.

DFT formation energy = -0.49 eV per atom
calculated total energy = -17.73 eV per formula unit

a = 4.6046 Å, b = 4.6046 Å, c = 10.0114 Å
α = 90.00°, β = 90.00°, γ = 90.00°
Atoms (fractional coordinates):
Sn 0.5000 0.5000 0.5000
Sn 0.5000 0.0000 0.1818
Sn 0.0000 0.5000 0.8182
Sn 0.0000 0.0000 0.5000
Ag 0.5000 0.5000 0.0000
Ag 0.0000 0.0000 0.0000
La 0.0000 0.5000 0.2435
La 0.5000 0.0000 0.7565

***

LaNbSi3: optimized geometry, PBE.

energy relative to the elements, uncorrected = -0.13 eV/atom
calculated total energy = -31.93 eV per formula unit

a = 4.8362 Å, b = 4.8362 Å, c = 4.8362 Å
α = 90.00°, β = 90.00°, γ = 90.00°
Atoms (fractional coordinates):
Si 0.0000 0.5000 0.0000
Si 0.5000 0.0000 0.0000
Si 0.0000 0.0000 0.5000
Nb 0.0000 0.0000 0.0000
La 0.5000 0.5000 0.5000

***

La6Ge2SbSe3: optimized geometry, PBE.

energy relative to the elements, uncorrected = -1.53 eV/atom
calculated total energy = -71.69 eV per formula unit

a = 4.4311 Å, b = 8.8421 Å, c = 9.8664 Å
α = 102.37°, β = 102.98°, γ = 90.00°
Atoms (fractional coordinates):
Se 0.5000 0.5000 0.0000
Se 0.1649 0.8333 0.3299
Se 0.8351 0.1667 0.6701
La 0.3307 0.4218 0.6614
La 0.9964 0.7413 0.9927
La 0.3301 0.9058 0.6603
La 0.6693 0.5782 0.3386
La 0.6699 0.0942 0.3397
La 0.0036 0.2587 0.0073
Sb 0.5000 0.0000 0.0000
Ge 0.1667 0.3334 0.3333
Ge 0.8333 0.6666 0.6667

***

One value per record, in order, for magnetic moment: 0.0000, 0.0000, 0.0000 μB/atom.